(1)
Here is a relaxed NaTb2Ho3Se6 crystal from Alexandria via LeMat-Bulk. Energies are from PBE.

Geometry as POSCAR:
```
NaTb2Ho3Se6
1.0
4.069 0.000 0.000
0.000 8.212 0.286
-2.034 -2.375 8.604
Na Tb Ho Se
1 2 3 6
Direct
0.500 0.000 0.000
0.830 0.657 0.660
0.170 0.343 0.340
0.500 0.500 0.000
0.835 0.174 0.670
0.165 0.826 0.330
0.332 0.919 0.663
0.664 0.586 0.328
0.668 0.081 0.337
0.001 0.254 0.002
0.999 0.746 0.998
0.336 0.414 0.672
```

* ΔE_f (raw): -1.740 eV/atom
* symmetry: C2/m (12)

=====

(2)
Here is a relaxed Ac8NiRh2 crystal from Alexandria via LeMat-Bulk. Energies are from PBE.

Geometry as POSCAR:
```
Ac8NiRh2
1.0
-1.855 3.682 0.146
-8.609 -4.369 0.796
2.485 -1.447 9.788
Ac Ni Rh
8 1 2
Direct
0.597 0.543 0.195
0.346 0.036 0.692
0.224 0.329 0.448
0.990 0.796 0.980
0.776 0.671 0.552
0.654 0.964 0.308
0.403 0.457 0.805
0.010 0.204 0.020
0.500 0.000 0.000
0.164 0.737 0.328
0.836 0.263 0.672
```

* ΔE_f: -0.326 eV/atom
* symmetry: C2/m (12)

=====

(3)
Here is a relaxed Mn2CoW2 crystal from Alexandria via LeMat-Bulk. Energies are from PBE.

Geometry as POSCAR:
```
Mn2CoW2
1.0
-3.849 2.256 4.934
4.624 -1.801 4.430
1.295 2.734 -0.240
Mn Co W
4 2 4
Direct
0.374 0.874 0.000
0.874 0.626 0.000
0.626 0.126 0.000
0.126 0.374 0.000
0.000 0.000 0.000
0.500 0.500 0.000
0.179 0.679 0.500
0.679 0.821 0.500
0.821 0.321 0.500
0.321 0.179 0.500
```

* ΔE_f: 0.395 eV/atom
* symmetry: P4/mbm (127)

=====

(4)
Here is a relaxed Ge2MoOs2 crystal from Alexandria via LeMat-Bulk. Energies are from PBE.

Geometry as POSCAR:
```
Ge2MoOs2
1.0
7.224 0.000 0.000
0.000 7.224 0.000
0.000 0.000 2.865
Mo Os Ge
2 4 4
Direct
0.000 0.000 0.000
0.500 0.500 0.000
0.154 0.654 0.500
0.654 0.846 0.500
0.846 0.346 0.500
0.346 0.154 0.500
0.354 0.854 0.000
0.854 0.646 0.000
0.646 0.146 0.000
0.146 0.354 0.000
```

* ΔE_f: 0.290 eV/atom
* relative energy among the computed polymorphs: 0.0 kJ per mole of atoms
* symmetry: P4/mbm (127)

=====

(5)
Here is a relaxed TiAl2Co2 crystal from Alexandria via LeMat-Bulk. Energies are from PBE.

Geometry as POSCAR:
```
TiAl2Co2
1.0
7.036 0.000 0.000
0.000 7.036 0.000
0.000 0.000 2.642
Co Al Ti
4 4 2
Direct
0.167 0.667 0.500
0.667 0.833 0.500
0.833 0.333 0.500
0.333 0.167 0.500
0.370 0.870 0.000
0.870 0.630 0.000
0.630 0.130 0.000
0.130 0.370 0.000
0.000 0.000 0.000
0.500 0.500 0.000
```

* ΔE_f: -0.395 eV/atom
* relative energy among the computed polymorphs: 2.0 kJ per mole of atoms
* symmetry: P4/mbm (127)

=====

(6)
Here is a relaxed BaMgAgF6 crystal from Alexandria via LeMat-Bulk. Energies are from PBE.

Geometry as POSCAR:
```
BaMgAgF6
1.0
-7.109 -1.446 -0.361
0.610 -1.234 -7.074
4.234 -3.741 4.689
Ba Mg Ag F
2 2 2 12
Direct
0.930 0.680 0.859
0.070 0.320 0.141
0.500 0.000 0.500
0.000 0.000 0.500
0.500 0.500 0.000
0.500 0.000 0.000
0.393 0.643 0.785
0.680 0.930 0.360
0.918 0.062 0.236
0.318 0.673 0.236
0.318 0.062 0.236
0.918 0.673 0.236
0.607 0.357 0.215
0.320 0.070 0.640
0.082 0.938 0.764
0.682 0.327 0.764
0.682 0.938 0.764
0.082 0.327 0.764
```

* ΔE_f (raw): -2.782 eV/atom
* symmetry: Imma (74)

=====

(7)
Here is a relaxed MnRu2Rh crystal from Alexandria via LeMat-Bulk. Energies are from PBE.

Geometry as POSCAR:
```
MnRu2Rh
1.0
4.334 0.000 0.000
2.167 3.753 0.000
2.167 1.251 3.539
Mn Ru Rh
1 2 1
Direct
0.500 0.500 0.500
0.000 0.000 0.000
0.250 0.250 0.250
0.750 0.750 0.750
```

* ΔE_f: 0.299 eV/atom
* symmetry: F-43m (216)

=====

(8)
Here is a relaxed NaSb3F crystal from Alexandria via LeMat-Bulk. Energies are from PBE.

Geometry as POSCAR:
```
NaSb3F
1.0
-0.452 -4.841 1.174
4.976 -0.489 -0.103
0.214 1.159 4.861
Sb F Na
3 1 1
Direct
0.000 0.500 0.000
0.000 0.000 0.500
0.500 0.000 0.000
0.000 0.000 0.000
0.500 0.500 0.500
```

* relative energy among the computed polymorphs: 0.0 kJ per mole of atoms
* ΔE_f (raw): -0.294 eV/atom
* symmetry: Pm-3m (221)